Computed, not measured: crystalline DyY3Ga at its relaxed geometry at the PBE-GGA level of DFT.

Energy of formation from the pure elements in eV/f.u.: -0.478
Electronic total energy in eV/cell: -55.0
Crystal system: monoclinic

Unit cell a=7.442 b=7.442 c=7.730 alpha=121.20 beta=121.20 gamma=74.05
Fractional coordinates of all 10 atoms:
Dy1 0.067 0.067 0.268
Dy2 0.933 0.933 0.732
Y1 0.028 0.412 0.755
Y2 0.412 0.028 0.755
Y3 0.447 0.447 0.672
Y4 0.553 0.553 0.328
Y5 0.588 0.972 0.245
Y6 0.972 0.588 0.245
Ga1 0.246 0.246 0.116
Ga2 0.754 0.754 0.884